Record 1
Here is an optimized crystal structure of Sb4AsOs from Alexandria via LeMat-Bulk. Energies are from PBE.

Values from the calculation:
Electronic total energy = -4.094 eV per atom
D(E_F) = 1.2723 states/eV per atom

```
data_Sb4AsOs
_space_group_name_H-M_alt 'F -4 3 m'
_space_group_IT_number 216
_space_group_name_Hall 'F -4 2 3'
_cell_length_a 8.533
_cell_length_b 8.533
_cell_length_c 8.533
_cell_angle_alpha 90.00
_cell_angle_beta 90.00
_cell_angle_gamma 90.00
loop_
_atom_site_label
_atom_site_fract_x
_atom_site_fract_y
_atom_site_fract_z
_atom_site_occupancy
Sb1 0.125 0.125 0.125 1
As1 0.250 0.250 0.750 1
Os1 0.000 0.000 0.500 1
```

***

Record 2
Here is an optimized crystal structure of Fe2AgH from Alexandria via LeMat-Bulk. Energies are from PBE.

Values from the calculation:
Electronic total energy = -5.463 eV per atom
D(E_F) = 0.6955 states/eV per atom
Energy relative to the lowest polymorph listed for this composition = 0.000 eV per atom

```
data_Fe2AgH
_space_group_name_H-M_alt 'I 41/a m d'
_space_group_IT_number 141
_cell_length_a 5.131
_cell_length_b 5.131
_cell_length_c 7.296
_cell_angle_alpha 90.00
_cell_angle_beta 90.00
_cell_angle_gamma 90.00
loop_
_space_group_symop_operation_xyz
'x,y,z'
'-x,-y,-z'
'-y+1/4,x+3/4,z+1/4'
'y+1/4,-x+3/4,-z+1/4'
'-x+1/2,-y,z+1/2'
'x+1/2,y,-z+1/2'
'y+1/4,-x+1/4,z+3/4'
'-y+1/4,x+1/4,-z+3/4'
'x,-y,-z'
'-x,y,z'
'-y+1/4,-x+1/4,-z+3/4'
'y+1/4,x+1/4,z+3/4'
'-x+1/2,y,-z+1/2'
'x+1/2,-y,z+1/2'
'y+1/4,x+3/4,-z+1/4'
'-y+1/4,-x+3/4,z+1/4'
'x+1/2,y+1/2,z+1/2'
'-x+1/2,-y+1/2,-z+1/2'
'-y+3/4,x+1/4,z+3/4'
'y+3/4,-x+1/4,-z+3/4'
'-x,-y+1/2,z'
'x,y+1/2,-z'
'y+3/4,-x+3/4,z+1/4'
'-y+3/4,x+3/4,-z+1/4'
'x+1/2,-y+1/2,-z+1/2'
'-x+1/2,y+1/2,z+1/2'
'-y+3/4,-x+3/4,-z+1/4'
'y+3/4,x+3/4,z+1/4'
'-x,y+1/2,-z'
'x,-y+1/2,z'
'y+3/4,x+1/4,-z+3/4'
'-y+3/4,-x+1/4,z+3/4'
loop_
_atom_site_label
_atom_site_fract_x
_atom_site_fract_y
_atom_site_fract_z
_atom_site_occupancy
Fe1 0.000 0.000 0.000 1
Ag1 0.000 0.250 0.375 1
H1 0.000 0.250 0.875 1
```